DFT (PBE) results for a relaxed structure of ReNiOsRu2.

Unit cell a=4.6057 b=4.4183 c=4.6057 alpha=90.00 beta=90.00 gamma=90.00
Fractional coordinates of all 5 atoms:
1 Os 0.5000 0.5000 0.5000
2 Re 0.0000 0.0000 0.0000
3 Ni 0.0000 0.5000 0.0000
4 Ru 0.5000 0.0000 0.0000
5 Ru 0.0000 0.0000 0.5000

Total energy   -37.6 eV for the cell shown
E_form   2.09 eV/atom